# 1
# GGA-PBE Y3FeTe, optimized geometry
data_Y3FeTe
_space_group_name_H-M_alt 'P 1'
_space_group_IT_number 1
_cell_length_a 5.161
_cell_length_b 5.161
_cell_length_c 5.161
_cell_angle_alpha 90.00
_cell_angle_beta 90.00
_cell_angle_gamma 90.00
loop_
_space_group_symop_operation_xyz
'x,y,z'
loop_
_atom_site_label
_atom_site_type_symbol
_atom_site_fract_x
_atom_site_fract_y
_atom_site_fract_z
Y1 Y 0.000 0.000 0.500
Y2 Y 0.000 0.500 0.000
Y3 Y 0.500 0.000 0.000
Fe1 Fe 0.000 0.000 0.000
Te1 Te 0.500 0.500 0.500
# **Energy above the lowest structure with this stoichiometry**: 0.3282 eV per atom
# **Total moment**: 0.000 μB/atom


# 2
# GGA-PBE YFe4Te, optimized geometry
data_YFe4Te
_space_group_name_H-M_alt 'P 1'
_space_group_IT_number 1
_cell_length_a 5.118
_cell_length_b 5.118
_cell_length_c 5.118
_cell_angle_alpha 60.00
_cell_angle_beta 60.00
_cell_angle_gamma 60.00
loop_
_space_group_symop_operation_xyz
'x,y,z'
loop_
_atom_site_label
_atom_site_type_symbol
_atom_site_fract_x
_atom_site_fract_y
_atom_site_fract_z
Y1 Y 0.000 0.000 0.000
Fe1 Fe 0.122 0.626 0.626
Fe2 Fe 0.626 0.122 0.626
Fe3 Fe 0.626 0.626 0.122
Fe4 Fe 0.626 0.626 0.626
Te1 Te 0.250 0.250 0.250
# **Electronic total energy**: -7.23 eV/atom
# **Total moment**: 1.517 μB/atom


# 3
# GGA-PBE Y3FeTe, optimized geometry
data_Y3FeTe
_space_group_name_H-M_alt 'P 1'
_space_group_IT_number 1
_cell_length_a 8.269
_cell_length_b 3.954
_cell_length_c 8.448
_cell_angle_alpha 90.00
_cell_angle_beta 107.80
_cell_angle_gamma 90.00
loop_
_space_group_symop_operation_xyz
'x,y,z'
loop_
_atom_site_label
_atom_site_type_symbol
_atom_site_fract_x
_atom_site_fract_y
_atom_site_fract_z
Y1 Y 0.069 0.250 0.240
Y2 Y 0.308 0.250 0.925
Y3 Y 0.320 0.750 0.591
Y4 Y 0.680 0.250 0.409
Y5 Y 0.692 0.750 0.075
Y6 Y 0.931 0.750 0.760
Fe1 Fe 0.051 0.250 0.565
Fe2 Fe 0.949 0.750 0.435
Te1 Te 0.379 0.750 0.233
Te2 Te 0.621 0.250 0.767
# **Energy above the lowest structure with this stoichiometry**: 0.0000 eV per atom
# **Total moment**: 0.184 μB/atom


| no. | Fermi-level density of states (states/eV per atom) |
| --- | --- |
| 1 | 1.148 |
| 2 | 0.625 |
| 3 | 1.058 |